1.
MgOs2Cl | Alexandria | PBE | relaxed; SG = P4/mmm (123); raw formation energy = 1.180 eV per atom; E above lowest polymorph = 1.139 eV per atom; total moment = 0.00 μB per cell; theoretical density = 12.312 g/cm3
1.0
-2.492 -3.632 0.299
3.491 -2.483 -1.069
0.723 -0.253 2.948
Os Mg Cl
2 1 1
Cartesian
0.000 0.000 0.000 Os
0.499 -3.057 -0.385 Os
2.107 -1.368 0.940 Mg
-0.884 -1.942 1.624 Cl

2.
MgOs2Cl | Alexandria | PBE | relaxed; SG = Cmm2 (35); raw formation energy = 0.441 eV per atom; E above lowest polymorph = 0.400 eV per atom; total moment = 0.03 μB per cell; theoretical density = 10.939 g/cm3
1.0
-0.127 -2.273 -1.766
2.553 1.271 0.410
1.641 -5.574 7.060
Os Mg Cl
2 1 1
Cartesian
1.575 -1.732 0.880 Os
1.631 -5.542 7.018 Os
2.430 -4.636 4.559 Mg
0.891 -3.029 3.836 Cl

3.
MgOs2Cl | Alexandria | PBE | relaxed; SG = P4/mmm (123); raw formation energy = 1.097 eV per atom; E above lowest polymorph = 1.055 eV per atom; total moment = 0.00 μB per cell; theoretical density = 12.237 g/cm3
1.0
2.993 0.000 0.000
0.000 2.993 0.000
0.000 0.000 6.670
Cl Os Mg
1 2 1
Cartesian
1.496 1.496 1.667 Cl
0.000 0.000 3.236 Os
0.000 0.000 0.099 Os
1.496 1.496 5.002 Mg

4.
MgOs2Cl | Alexandria | PBE | relaxed; SG = Cmmm (65); raw formation energy = 0.982 eV per atom; E above lowest polymorph = 0.941 eV per atom; total moment = 0.00 μB per cell; theoretical density = 10.701 g/cm3
1.0
-5.274 1.284 1.166
4.005 -1.343 3.603
0.702 2.684 0.220
Mg Cl Os
1 1 2
Cartesian
2.354 0.671 1.911 Mg
-2.286 1.984 0.693 Cl
0.000 0.000 0.000 Os
-0.634 -0.029 2.385 Os

5.
MgOsCl | Alexandria | PBE | relaxed; SG = F-43m (216); raw formation energy = 1.170 eV per atom; E above lowest polymorph = 1.010 eV per atom; total moment = 2.03 μB per cell; theoretical density = 6.800 g/cm3
1.0
-0.299 -3.999 -1.857
-0.904 -3.534 2.496
-3.930 -1.994 -0.333
Os Mg Cl
1 1 1
Cartesian
-3.849 -7.145 0.230 Os
-2.566 -4.763 0.153 Mg
0.000 0.000 0.000 Cl

6.
MgOs2Cl | Alexandria | PBE | relaxed; SG = Cm (8); raw formation energy = 0.162 eV per atom; E above lowest polymorph = 0.121 eV per atom; total moment = 0.00 μB per cell; theoretical density = 9.015 g/cm3
1.0
-3.084 1.865 -2.299
-2.861 -0.978 -3.022
-4.490 -1.608 4.940
Os Mg Cl
2 1 1
Cartesian
-2.718 0.032 -0.965 Os
-0.503 0.001 -0.157 Os
-8.065 -0.593 -0.155 Mg
-4.368 -0.522 0.705 Cl

7.
MgOs2Cl | Alexandria | PBE | relaxed; SG = P4/mmm (123); raw formation energy = 1.002 eV per atom; E above lowest polymorph = 0.961 eV per atom; total moment = 0.00 μB per cell; theoretical density = 11.697 g/cm3
1.0
-2.099 1.520 0.905
-1.724 -1.440 -1.579
-1.205 -5.362 6.208
Os Cl Mg
2 1 1
Cartesian
-0.599 -2.666 3.087 Os
-0.003 -0.015 0.017 Os
-2.213 -1.301 1.215 Cl
-2.815 -3.982 4.319 Mg

8.
MgOs3Cl | Alexandria | PBE | relaxed; SG = Pm-3m (221); raw formation energy = 2.867 eV per atom; E above lowest polymorph = 1.244 eV per atom; total moment = 4.85 μB per cell; theoretical density = 10.408 g/cm3
1.0
4.651 0.000 0.000
0.000 4.651 0.000
0.000 0.000 4.651
Os Mg Cl
3 1 1
Cartesian
2.325 0.000 0.000 Os
0.000 0.000 2.325 Os
0.000 2.325 0.000 Os
0.000 0.000 0.000 Mg
2.325 2.325 2.325 Cl

9.
MgOsCl3 | Alexandria | PBE | relaxed; SG = Pm-3m (221); raw formation energy = 0.127 eV per atom; E above lowest polymorph = 0.000 eV per atom; total moment = 0.40 μB per cell; theoretical density = 4.767 g/cm3
1.0
4.817 0.000 0.000
0.000 4.817 0.000
0.000 0.000 4.817
Mg Cl Os
1 3 1
Cartesian
2.408 2.408 2.408 Mg
0.000 0.000 2.408 Cl
2.408 0.000 0.000 Cl
0.000 2.408 0.000 Cl
0.000 0.000 0.000 Os

10.
MgOs2Cl | Alexandria | PBE | relaxed; SG = I-42d (122); raw formation energy = 1.133 eV per atom; E above lowest polymorph = 1.092 eV per atom; total moment = 0.00 μB per cell; theoretical density = 10.519 g/cm3
1.0
-6.214 -2.313 -3.898
4.171 -5.508 -3.380
-1.564 -5.390 -1.897
Os Mg Cl
4 2 2
Cartesian
-4.130 -3.621 -3.569 Os
1.815 -4.939 -2.838 Os
-2.192 -6.642 -3.948 Os
-2.709 -11.219 -7.996 Os
-1.022 -3.910 -3.639 Mg
0.792 -7.404 -4.458 Mg
-4.400 -5.807 -4.717 Cl
0.000 0.000 0.000 Cl

11.
MgOs2Cl | Alexandria | PBE | relaxed; SG = F-43m (216); raw formation energy = 0.929 eV per atom; E above lowest polymorph = 0.888 eV per atom; total moment = 0.00 μB per cell; theoretical density = 11.535 g/cm3
1.0
-1.491 -2.554 -3.359
2.868 -2.511 -2.345
-0.057 -4.454 0.430
Os Cl Mg
2 1 1
Cartesian
0.990 -7.139 -3.955 Os
0.000 0.000 0.000 Os
0.660 -4.759 -2.637 Cl
0.330 -2.380 -1.318 Mg

12.
MgOs2Cl | Alexandria | PBE | relaxed; SG = C2/m (12); raw formation energy = 0.619 eV per atom; E above lowest polymorph = 0.577 eV per atom; total moment = 0.00 μB per cell; theoretical density = 11.054 g/cm3
1.0
5.839 0.003 -0.028
-3.515 4.663 -0.028
0.723 1.451 2.411
Os Mg Cl
2 1 1
Cartesian
1.162 2.333 -0.028 Os
0.000 0.000 0.000 Os
-1.396 3.057 1.192 Mg
3.281 0.727 1.192 Cl

13.
MgOs2Cl | Alexandria | PBE | relaxed; SG = R-3m (166); raw formation energy = 0.710 eV per atom; E above lowest polymorph = 0.668 eV per atom; total moment = 0.00 μB per cell; theoretical density = 11.958 g/cm3
1.0
8.989 0.008 0.005
8.542 2.799 0.005
8.542 1.368 2.442
Cl Mg Os
1 1 2
Cartesian
6.518 1.044 0.613 Cl
19.554 3.131 1.839 Mg
13.091 2.096 1.231 Os
26.017 4.166 2.446 Os

14.
MgOsCl | Alexandria | PBE | relaxed; SG = P-6m2 (187); raw formation energy = 0.592 eV per atom; E above lowest polymorph = 0.432 eV per atom; total moment = 0.16 μB per cell; theoretical density = 8.550 g/cm3
1.0
-2.103 -3.466 1.619
2.883 -0.513 -3.238
2.148 -0.382 1.973
Mg Os Cl
1 1 1
Cartesian
0.274 -2.609 0.658 Mg
3.011 -1.815 0.026 Os
1.791 -0.318 1.645 Cl

15.
MgOs3Cl | Alexandria | PBE | relaxed; SG = Pm-3m (221); raw formation energy = 1.623 eV per atom; E above lowest polymorph = 0.000 eV per atom; total moment = 0.00 μB per cell; theoretical density = 12.493 g/cm3
1.0
-2.751 -2.701 -2.070
2.065 -3.441 1.745
-2.705 0.120 3.438
Mg Cl Os
1 1 3
Cartesian
-1.696 -3.011 1.556 Mg
0.000 0.000 0.000 Cl
-1.352 0.060 1.719 Os
-1.376 -1.350 -1.035 Os
1.032 -1.721 0.872 Os

16.
Mg4OsCl | Alexandria | PBE | relaxed; SG = F-43m (216); raw formation energy = 0.524 eV per atom; total moment = 0.78 μB per cell; theoretical density = 4.519 g/cm3
1.0
-1.049 -5.047 1.962
-5.049 -2.162 -0.508
-0.870 -4.187 -3.484
Mg Cl Os
4 1 1
Cartesian
-2.622 -4.290 -0.764 Mg
-5.119 -5.359 -1.015 Mg
-3.052 -6.360 -2.486 Mg
-3.141 -6.785 0.206 Mg
0.000 0.000 0.000 Cl
-5.225 -8.547 -1.522 Os

17.
MgOs2Cl | Alexandria | PBE | relaxed; SG = P4mm (99); raw formation energy = 0.155 eV per atom; E above lowest polymorph = 0.113 eV per atom; total moment = 0.00 μB per cell; theoretical density = 11.269 g/cm3
1.0
-2.363 -0.856 1.489
0.596 -2.784 -0.655
4.190 -0.588 6.311
Mg Os Cl
1 2 1
Cartesian
2.283 -2.264 5.187 Mg
0.043 -1.950 1.813 Os
0.066 -0.009 0.100 Os
2.126 -0.298 3.202 Cl

18.
MgOs2Cl | Alexandria | PBE | relaxed; SG = Pmmm (47); raw formation energy = 0.586 eV per atom; E above lowest polymorph = 0.544 eV per atom; total moment = 0.00 μB per cell; theoretical density = 10.062 g/cm3
1.0
3.043 0.000 0.000
0.000 4.024 0.000
0.000 0.000 5.934
Mg Os Cl
1 2 1
Cartesian
0.000 2.012 2.967 Mg
0.000 0.000 0.000 Os
1.521 2.012 0.000 Os
1.521 0.000 2.967 Cl

19.
MgOs2Cl | Alexandria | PBE | relaxed; SG = Cmmm (65); raw formation energy = 0.825 eV per atom; E above lowest polymorph = 0.783 eV per atom; total moment = 0.00 μB per cell; theoretical density = 11.677 g/cm3
1.0
2.845 -0.004 0.000
-1.475 2.433 0.000
0.000 0.000 9.055
Cl Mg Os
1 1 2
Cartesian
0.685 1.214 2.264 Cl
0.685 1.214 6.791 Mg
0.000 0.000 4.478 Os
0.000 0.000 0.049 Os

20.
MgOs2Cl | Alexandria | PBE | relaxed; SG = Pmmm (47); raw formation energy = 0.901 eV per atom; E above lowest polymorph = 0.859 eV per atom; total moment = 0.00 μB per cell; theoretical density = 10.782 g/cm3
1.0
2.821 0.000 0.000
0.000 4.489 0.000
0.000 0.000 5.353
Os Cl Mg
2 1 1
Cartesian
0.000 0.000 2.862 Os
0.000 0.000 5.168 Os
1.411 2.245 1.338 Cl
1.411 2.245 4.015 Mg

21.
MgOs2Cl | Alexandria | PBE | relaxed; SG = Fm-3m (225); raw formation energy = 1.334 eV per atom; E above lowest polymorph = 1.292 eV per atom; total moment = 0.00 μB per cell; theoretical density = 12.133 g/cm3
1.0
-4.069 1.377 0.952
-1.857 3.195 -2.389
-3.332 -0.938 -2.717
Os Cl Mg
2 1 1
Cartesian
-2.314 0.909 -1.039 Os
-6.943 2.726 -3.116 Os
-4.629 1.817 -2.077 Cl
0.000 0.000 0.000 Mg

22.
MgOs2Cl | Alexandria | PBE | relaxed; SG = Imm2 (44); raw formation energy = 0.827 eV per atom; E above lowest polymorph = 0.786 eV per atom; total moment = 0.00 μB per cell; theoretical density = 11.350 g/cm3
1.0
5.439 0.008 -0.003
2.585 4.786 0.003
-3.359 -3.490 2.475
Cl Os Mg
1 2 1
Cartesian
4.219 2.520 0.000 Cl
2.998 -0.571 1.236 Os
7.778 4.646 0.000 Os
1.706 1.899 1.239 Mg

23.
MgOsCl6 | Alexandria | PBE | relaxed; SG = R-3 (148); raw formation energy = -0.839 eV per atom; total moment = 2.01 μB per cell; theoretical density = 3.887 g/cm3
1.0
-1.419 -5.971 0.673
2.767 -3.358 4.380
-3.554 -1.757 5.252
Os Cl Mg
1 6 1
Cartesian
0.000 0.000 0.000 Os
1.346 -4.898 5.445 Cl
-1.128 -6.249 7.602 Cl
-1.725 -3.145 5.755 Cl
-0.481 -7.940 4.551 Cl
-1.077 -4.837 2.704 Cl
-3.551 -6.188 4.861 Cl
-1.103 -5.543 5.153 Mg

24.
MgOs2Cl | Alexandria | PBE | relaxed; SG = I4/mmm (139); raw formation energy = 0.622 eV per atom; E above lowest polymorph = 0.580 eV per atom; total moment = 0.00 μB per cell; theoretical density = 9.578 g/cm3
1.0
6.655 -0.005 0.000
4.801 4.609 0.000
-5.728 -2.302 2.486
Os Mg Cl
2 1 1
Cartesian
5.728 2.302 0.000 Os
0.000 0.000 0.000 Os
3.328 -0.003 1.243 Mg
2.401 2.304 1.243 Cl

25.
MgOs2Cl | Alexandria | PBE | relaxed; SG = Pm (6); raw formation energy = 0.042 eV per atom; E above lowest polymorph = 0.000 eV per atom; total moment = 0.00 μB per cell; theoretical density = 11.201 g/cm3
1.0
-1.221 2.457 0.969
-2.205 -0.352 -1.888
-4.887 -4.166 4.406
Cl Os Mg
1 2 1
Cartesian
-3.167 -2.208 1.607 Cl
-2.695 0.149 0.595 Os
-0.186 -0.081 -0.029 Os
-5.811 -2.180 2.574 Mg

26.
MgOs2Cl | Alexandria | PBE | relaxed; SG = I-4m2 (119); raw formation energy = 0.922 eV per atom; E above lowest polymorph = 0.881 eV per atom; total moment = 0.00 μB per cell; theoretical density = 11.595 g/cm3
1.0
-1.515 3.396 -2.283
-1.614 -3.364 -2.263
-1.220 0.031 4.189
Cl Mg Os
1 1 2
Cartesian
-1.564 0.016 -2.273 Cl
-2.149 1.721 -0.183 Mg
0.000 0.000 0.000 Os
-2.199 -1.658 -0.173 Os

27.
MgOsCl | Alexandria | PBE | relaxed; SG = Fmm2 (42); raw formation energy = 0.271 eV per atom; E above lowest polymorph = 0.111 eV per atom; total moment = 0.00 μB per cell; theoretical density = 7.157 g/cm3
1.0
8.190 0.065 -0.044
7.453 2.832 -0.079
0.737 -1.041 2.564
Mg Os Cl
1 1 1
Cartesian
5.842 0.307 1.644 Mg
11.208 1.725 0.677 Os
14.974 2.721 -0.002 Cl

28.
MgOsCl4 | Alexandria | PBE | relaxed; SG = F-43m (216); raw formation energy = 1.163 eV per atom; total moment = 5.99 μB per cell; theoretical density = 4.207 g/cm3
1.0
0.000 4.128 4.128
4.128 0.000 4.128
4.128 4.128 0.000
Os Cl Mg
1 4 1
Cartesian
0.000 0.000 0.000 Os
5.159 3.097 5.159 Cl
3.097 5.159 5.159 Cl
3.097 3.097 3.097 Cl
5.159 5.159 3.097 Cl
6.192 6.192 6.192 Mg

29.
MgOsCl | Alexandria | PBE | relaxed; SG = I4mm (107); raw formation energy = 0.324 eV per atom; E above lowest polymorph = 0.163 eV per atom; total moment = 0.02 μB per cell; theoretical density = 7.029 g/cm3
1.0
-7.066 -1.008 2.851
-7.465 -1.468 -1.091
7.621 -0.715 -0.688
Mg Cl Os
1 1 1
Cartesian
-5.034 -0.858 0.610 Mg
-13.792 -2.351 1.671 Cl
-10.235 -1.744 1.240 Os

30.
MgOsCl | Alexandria | PBE | relaxed; SG = P3m1 (156); raw formation energy = 0.160 eV per atom; E above lowest polymorph = 0.000 eV per atom; total moment = 0.00 μB per cell; theoretical density = 7.208 g/cm3
1.0
2.940 0.000 0.000
-1.470 2.546 0.000
0.000 0.000 7.692
Os Mg Cl
1 1 1
Cartesian
1.470 0.849 4.583 Os
0.000 1.698 2.384 Mg
0.000 0.000 0.725 Cl